1.
# Sr2LiCu3O6 | Alexandria | PBE | optimized geometry
data_Sr2LiCu3O6
_chemical_formula_sum 'Sr2 Li1 Cu3 O6'
_space_group_name_H-M_alt 'P 4/m m m'
_space_group_IT_number 123
_space_group_name_Hall '-P 4 2'
_cell_length_a 3.705
_cell_length_b 3.705
_cell_length_c 11.835
_cell_angle_alpha 90.00
_cell_angle_beta 90.00
_cell_angle_gamma 90.00
loop_
_atom_site_label
_atom_site_type_symbol
_atom_site_fract_x
_atom_site_fract_y
_atom_site_fract_z
Sr1 Sr 0.000 0.000 0.215
Li1 Li 0.000 0.000 0.500
Cu1 Cu 0.500 0.500 0.000
Cu2 Cu 0.500 0.500 0.389
O1 O 0.000 0.500 0.368
O2 O 0.500 0.500 0.150
# Formation energy (no corrections) in meV/atom: -1394
# Crystal system: tetragonal

***

2.
# Sr2LiCuO | Alexandria | PBE | optimized geometry
data_Sr2LiCuO
_chemical_formula_sum 'Sr2 Li1 Cu1 O1'
_space_group_name_H-M_alt 'P 4/m m m'
_space_group_IT_number 123
_space_group_name_Hall '-P 4 2'
_cell_length_a 5.165
_cell_length_b 5.165
_cell_length_c 4.086
_cell_angle_alpha 90.00
_cell_angle_beta 90.00
_cell_angle_gamma 90.00
loop_
_atom_site_label
_atom_site_type_symbol
_atom_site_fract_x
_atom_site_fract_y
_atom_site_fract_z
Sr1 Sr 0.000 0.500 0.000
Li1 Li 0.000 0.000 0.500
Cu1 Cu 0.500 0.500 0.500
O1 O 0.000 0.000 0.000
# Formation energy (no corrections) in meV/atom: -1001
# Crystal system: tetragonal

***

3.
# SrLi2CuO | Alexandria | PBE | optimized geometry
data_SrLi2CuO
_chemical_formula_sum 'Sr1 Li2 Cu1 O1'
_space_group_name_H-M_alt 'P 4/m m m'
_space_group_IT_number 123
_space_group_name_Hall '-P 4 2'
_cell_length_a 6.194
_cell_length_b 6.194
_cell_length_c 5.278
_cell_angle_alpha 90.00
_cell_angle_beta 90.00
_cell_angle_gamma 90.00
loop_
_atom_site_label
_atom_site_type_symbol
_atom_site_fract_x
_atom_site_fract_y
_atom_site_fract_z
Sr1 Sr 0.000 0.000 0.000
Li1 Li 0.000 0.500 0.000
Cu1 Cu 0.000 0.000 0.500
O1 O 0.500 0.500 0.500
# Formation energy (no corrections) in meV/atom: 1284
# Crystal system: tetragonal

***

4.
# SrLiCuO2 | Alexandria | PBE | optimized geometry
data_SrLiCuO2
_chemical_formula_sum 'Sr2 Li2 Cu2 O4'
_space_group_name_H-M_alt 'P 1 2/c 1'
_space_group_IT_number 13
_cell_length_a 5.644
_cell_length_b 4.121
_cell_length_c 5.998
_cell_angle_alpha 90.00
_cell_angle_beta 100.07
_cell_angle_gamma 90.00
loop_
_space_group_symop_operation_xyz
'x,y,z'
'-x,-y,-z'
'-x,y,-z+1/2'
'x,-y,z+1/2'
loop_
_atom_site_label
_atom_site_type_symbol
_atom_site_fract_x
_atom_site_fract_y
_atom_site_fract_z
Sr1 Sr 0.000 0.242 0.250
Li1 Li 0.500 0.479 0.750
Cu1 Cu 0.500 0.000 0.000
O1 O 0.255 0.298 0.947
# Formation energy (no corrections) in meV/atom: -1740
# Crystal system: monoclinic